A plane-wave DFT calculation with PBE-GGA was carried out for crystalline MgGaSb2 at its relaxed geometry.

Results
DFT total energy	-3.23	eV/atom
crystal system	tetragonal
energy above the most stable polymorph in this dataset	0.23	eV per formula unit
formation energy (no corrections)	0.0	eV per formula unit
DOS(E_F)	0.587	states/eV/atom

abc: 3.9090 3.9090 6.4102
angles: 90.00 90.00 90.00
Fractional positions:
Sb 0.0000 0.0000 0.7388
Sb 0.0000 0.0000 0.2612
Mg 0.5000 0.5000 0.5000
Ga 0.5000 0.5000 0.0000

***

A plane-wave DFT calculation with PBE-GGA was carried out for crystalline K4Rb2As at its relaxed geometry.

Results
DFT total energy	-1.68	eV/atom
crystal system	tetragonal
E_form	-76	kJ/mol of formula units
DOS(E_F)	0.608	states/eV/atom

abc: 6.4813 6.4813 13.1664
angles: 75.75 75.75 90.00
Fractional positions:
As 0.0000 0.0000 0.0000
K 0.1275 0.1275 0.7451
K 0.8725 0.8725 0.2549
K 0.0000 0.5000 0.0000
K 0.5000 0.0000 0.0000
Rb 0.3105 0.3105 0.3791
Rb 0.6895 0.6895 0.6209

***

A plane-wave DFT calculation with PBE-GGA was carried out for crystalline LiZn2As at its relaxed geometry.

Results
DFT total energy	-2.35	eV/atom
crystal system	tetragonal
E_form	-29	kJ/mol of formula units
DOS(E_F)	0.687	states/eV/atom

abc: 8.0182 8.0182 6.1834
angles: 49.58 49.58 90.00
Fractional positions:
As 0.0000 0.0000 0.0000
As 0.7500 0.2500 0.5000
Zn 0.6945 0.1250 0.2500
Zn 0.0555 0.6250 0.2500
Zn 0.3750 0.3055 0.7500
Zn 0.8750 0.9445 0.7500
Li 0.5000 0.5000 0.0000
Li 0.2500 0.7500 0.5000

***

A plane-wave DFT calculation with PBE-GGA was carried out for crystalline CaPm4Al3 at its relaxed geometry.

Results
DFT total energy	-4.26	eV/atom
crystal system	tetragonal
E_form	-178	kJ/mol of formula units
DOS(E_F)	0.749	states/eV/atom

abc: 5.0052 8.7572 10.0114
angles: 90.00 90.00 90.00
Fractional positions:
Ca 0.0000 0.5000 0.0000
Ca 0.0000 0.5000 0.5000
Al 0.0000 0.0000 0.0000
Al 0.0000 0.0000 0.5000
Al 0.5002 0.0000 0.7500
Al 0.4998 0.0000 0.2500
Al 0.5001 0.5000 0.7500
Al 0.4999 0.5000 0.2500
Pm 0.5000 0.7736 0.0000
Pm 0.5000 0.7736 0.5000
Pm 0.5000 0.2264 0.0000
Pm 0.5000 0.2264 0.5000
Pm 0.0001 0.7736 0.7500
Pm 0.9999 0.7736 0.2500
Pm 0.9999 0.2264 0.2500
Pm 0.0001 0.2264 0.7500